1.
VASP calculation (PBE) on a geometry-optimized NdSmAl2I2 structure.

```
data_NdSmAl2I2
_chemical_formula_sum 'Nd1 Sm1 Al2 I2'
_cell_length_a 4.356
_cell_length_b 4.356
_cell_length_c 12.330
_cell_angle_alpha 90.00
_cell_angle_beta 90.00
_cell_angle_gamma 120.00
_symmetry_space_group_name_H-M 'P 1'
_symmetry_Int_Tables_number 1
loop_
_symmetry_equiv_pos_as_xyz
'x,y,z'
loop_
_atom_site_label
_atom_site_fract_x
_atom_site_fract_y
_atom_site_fract_z
Al1 0.333 0.667 0.016
Al2 0.667 0.333 0.988
I1 0.667 0.333 0.333
I2 0.333 0.667 0.663
Nd1 0.000 0.000 0.828
Sm1 0.000 0.000 0.172
```

Properties
Total moment ... 0.00 μB/f.u.
Uncorrected energy ... -0.315 Ry/atom
Crystal system ... trigonal

***

2.
VASP calculation (PBE) on a geometry-optimized CsPtAuSe3 structure.

```
data_CsPtAuSe3
_chemical_formula_sum 'Cs2 Pt2 Au2 Se6'
_cell_length_a 8.446
_cell_length_b 8.446
_cell_length_c 10.616
_cell_angle_alpha 90.00
_cell_angle_beta 90.00
_cell_angle_gamma 26.49
_symmetry_space_group_name_H-M 'P 1'
_symmetry_Int_Tables_number 1
loop_
_symmetry_equiv_pos_as_xyz
'x,y,z'
loop_
_atom_site_label
_atom_site_fract_x
_atom_site_fract_y
_atom_site_fract_z
Au1 0.907 0.907 0.250
Au2 0.093 0.093 0.750
Cs1 0.229 0.229 0.250
Cs2 0.771 0.771 0.750
Pt1 0.500 0.500 0.000
Pt2 0.500 0.500 0.500
Se1 0.901 0.901 0.018
Se2 0.540 0.540 0.250
Se3 0.901 0.901 0.482
Se4 0.099 0.099 0.518
Se5 0.460 0.460 0.750
Se6 0.099 0.099 0.982
```

Properties
Total moment ... 0.10 μB/f.u.
Uncorrected energy ... -0.280 Ry/atom
Crystal system ... orthorhombic

***

3.
VASP calculation (PBE) on a geometry-optimized KZnGe structure.

```
data_KZnGe
_chemical_formula_sum 'K1 Zn1 Ge1'
_cell_length_a 4.977
_cell_length_b 4.977
_cell_length_c 4.977
_cell_angle_alpha 60.00
_cell_angle_beta 60.00
_cell_angle_gamma 60.00
_symmetry_space_group_name_H-M 'P 1'
_symmetry_Int_Tables_number 1
loop_
_symmetry_equiv_pos_as_xyz
'x,y,z'
loop_
_atom_site_label
_atom_site_fract_x
_atom_site_fract_y
_atom_site_fract_z
Ge1 0.000 0.000 0.000
K1 0.250 0.250 0.250
Zn1 0.750 0.750 0.750
```

Properties
Crystal system ... cubic
ΔE to the lowest computed polymorph ... 0 meV/atom

***

Q: What is the formula in the second record?
A: CsPtAuSe3